First-principles (PBE-GGA) data for a geometry-optimized Li4Ga4Pt3 structure, as listed in Alexandria.

Lattice parameters (Å, degrees): 2.813 4.485 13.279 80.33 96.11 89.65
Fractional coordinates of all 11 atoms:
Li1 0.943 0.554 0.893
Li2 0.824 0.172 0.655
Li3 0.058 0.446 0.107
Li4 0.176 0.828 0.345
Ga1 0.587 0.914 0.170
Ga2 0.239 0.271 0.455
Ga3 0.413 0.086 0.830
Ga4 0.761 0.729 0.545
Pt1 0.648 0.359 0.282
Pt2 0.352 0.641 0.718
Pt3 0.000 0.000 0.000

E_form: -0.5675 eV per atom
N(E_F): 3.21 states/eV/f.u.
Density: 9.0 g/cm3
Total magnetization: 0.0 μB/f.u.


First-principles (PBE-GGA) data for a geometry-optimized Zn8Cu2Ni structure, as listed in Alexandria.

Lattice parameters (Å, degrees): 4.089 6.326 7.047 116.65 106.25 90.01
Fractional coordinates of all 11 atoms:
Zn1 0.975 0.020 0.590
Zn2 0.297 0.340 0.228
Zn3 0.517 0.749 0.666
Zn4 0.136 0.497 0.909
Zn5 0.329 0.877 0.299
Zn6 0.636 0.195 0.909
Zn7 0.757 0.995 0.154
Zn8 0.944 0.488 0.519
Ni1 0.136 0.909 0.909
Cu1 0.488 0.316 0.612
Cu2 0.784 0.614 0.206

E_form: -0.0519 eV per atom
N(E_F): 2.59 states/eV/f.u.
ΔE to the lowest computed polymorph: 0.0 meV/atom
Density: 7.6 g/cm3
Total magnetization: 0.0 μB/f.u.


First-principles (PBE-GGA) data for a geometry-optimized TaAg2Cl structure, as listed in Alexandria.

Lattice parameters (Å, degrees): 5.794 5.794 5.794 141.91 141.91 54.97
Fractional coordinates of all 4 atoms:
Ta1 0.750 0.250 0.500
Cl1 0.250 0.750 0.500
Ag1 0.500 0.500 0.000
Ag2 0.000 0.000 0.000

N(E_F): 3.12 states/eV/f.u.
Uncorrected formation energy: 0.698 eV/atom
ΔE to the lowest computed polymorph: 662.7 meV/atom
Density: 9.8 g/cm3
Total magnetization: 0.0 μB/f.u.


First-principles (PBE-GGA) data for a geometry-optimized Tb2Sm5Y structure, as listed in Alexandria.

Lattice parameters (Å, degrees): 5.590 6.592 16.297 90.00 90.00 115.09
Fractional coordinates of all 16 atoms:
Sm1 0.618 0.237 0.949
Sm2 0.382 0.763 0.449
Sm3 0.924 0.848 0.592
Sm4 0.076 0.152 0.092
Sm5 0.076 0.152 0.408
Sm6 0.924 0.848 0.908
Sm7 0.541 0.082 0.250
Sm8 0.618 0.237 0.551
Sm9 0.459 0.918 0.750
Sm10 0.382 0.763 0.051
Tb1 0.776 0.551 0.369
Tb2 0.776 0.551 0.131
Tb3 0.224 0.449 0.869
Tb4 0.224 0.449 0.631
Y1 0.737 0.473 0.750
Y2 0.263 0.527 0.250

E_form: 0.1345 eV per atom
N(E_F): 13.01 states/eV/f.u.
ΔE to the lowest computed polymorph: 0.0 meV/atom
Density: 7.1 g/cm3
Total magnetization: 0.0 μB/f.u.


First-principles (PBE-GGA) data for a geometry-optimized Li2LaSc structure, as listed in Alexandria.

Lattice parameters (Å, degrees): 10.883 10.883 10.883 17.75 17.75 17.75
Site moments in Bohr magnetons follow the coordinates.
Fractional coordinates of all 4 atoms:
Li1 0.995 0.995 0.995  0.01
Li2 0.505 0.505 0.505  0.01
Sc1 0.250 0.250 0.250  0.29
La1 0.750 0.750 0.750  0.01

E_form: 0.2047 eV per atom
N(E_F): 5.26 states/eV/f.u.
ΔE to the lowest computed polymorph: 105.4 meV/atom
Density: 3.1 g/cm3
Total magnetization: 0.6 μB/f.u.